Computed, not measured: crystalline Ba3Sr3Ag2Hg at its relaxed geometry at the GGA-PBE level of DFT.

Formation energy from the elements ... -0.23 eV/atom
D(E_F) ... 1.12 states/eV/atom

a = 5.2997 Å, b = 8.9899 Å, c = 8.9899 Å
α = 120.00°, β = 90.00°, γ = 90.00°
Atoms (fractional coordinates):
1 Ba 0.0000 0.5938 0.5938
2 Sr 0.5000 0.7444 0.0000
3 Sr 0.5000 0.0000 0.7444
4 Ba 0.0000 0.0000 0.4062
5 Ag 0.5000 0.3333 0.6667
6 Ba 0.0000 0.4062 0.0000
7 Sr 0.5000 0.2556 0.2556
8 Ag 0.5000 0.6667 0.3333
9 Hg 0.0000 0.0000 0.0000



Computed, not measured: crystalline BaSrAgHg at its relaxed geometry at the GGA-PBE level of DFT.

Formation energy from the elements ... -0.38 eV/atom
D(E_F) ... 0.76 states/eV/atom
Energy above the lowest structure with this stoichiometry ... 0.05 eV per formula unit

a = 5.7601 Å, b = 5.7601 Å, c = 5.7601 Å
α = 60.00°, β = 60.00°, γ = 60.00°
Atoms (fractional coordinates):
1 Hg 0.5000 0.5000 0.5000
2 Ba 0.7500 0.7500 0.7500
3 Ag 0.0000 0.0000 0.0000
4 Sr 0.2500 0.2500 0.2500



Which value of formation energy from the elements does entry 1 give? -0.23 eV/atom



Among the records above, which one has the lowest formation energy from the elements? BaSrAgHg



Among the records above, which one has the highest formation energy from the elements? Ba3Sr3Ag2Hg